1.
CdBF4: relaxed, PBE-GGA.

abc: 6.761 9.001 6.036
angles: 90.00 90.00 90.00
Element x y z (fractional)
F1 0.578 0.209 0.487
F2 0.922 0.291 0.987
F3 0.422 0.709 0.013
F4 0.750 0.025 0.300
F5 0.078 0.709 0.013
F6 0.422 0.791 0.513
F7 0.078 0.791 0.513
F8 0.922 0.209 0.487
F9 0.250 0.969 0.314
F10 0.578 0.291 0.987
F11 0.250 0.525 0.200
F12 0.750 0.031 0.686
F13 0.750 0.469 0.186
F14 0.750 0.475 0.800
F15 0.250 0.975 0.700
F16 0.250 0.531 0.814
Cd1 0.250 0.242 0.242
Cd2 0.250 0.258 0.742
Cd3 0.750 0.758 0.758
Cd4 0.750 0.742 0.258
B1 0.750 0.382 0.989
B2 0.250 0.618 0.011
B3 0.250 0.882 0.511
B4 0.750 0.118 0.489

## Properties
E above lowest polymorph, meV per atom: 0
D(E_F), states/eV per atom: 0.166
Formation energy from raw total energies, kJ/mol of formula units: -1369.5



2.
YScFe4: relaxed, PBE-GGA.

abc: 5.036 5.036 5.036
angles: 60.00 60.00 60.00
Last column: magnetic moment on the atom in μB.
Element x y z (fractional)
Y1 0.000 0.000 0.000  -0.39
Fe1 0.375 0.874 0.375  1.86
Fe2 0.375 0.375 0.874  1.86
Fe3 0.375 0.375 0.375  1.86
Fe4 0.874 0.375 0.375  1.86
Sc1 0.750 0.750 0.750  -0.50

## Properties
D(E_F), states/eV per atom: 1.050
Calculated formation energy, eV/atom: -0.15



3.
CsCa: relaxed, PBE-GGA.

abc: 13.439 13.439 13.439
angles: 90.00 90.00 90.00
Element x y z (fractional)
Ca1 0.597 0.403 0.403
Ca2 0.597 0.597 0.597
Ca3 0.403 0.597 0.403
Ca4 0.903 0.903 0.097
Ca5 0.097 0.903 0.903
Ca6 0.403 0.403 0.597
Ca7 0.097 0.097 0.097
Ca8 0.903 0.097 0.903
Cs1 0.709 0.709 0.291
Cs2 0.209 0.209 0.791
Cs3 0.291 0.291 0.291
Cs4 0.709 0.291 0.709
Cs5 0.291 0.709 0.709
Cs6 0.791 0.791 0.791
Cs7 0.791 0.209 0.209
Cs8 0.209 0.791 0.209

## Properties
D(E_F), states/eV per atom: 1.330
Calculated formation energy, eV/atom: 0.50



4.
NaNdY: relaxed, PBE-GGA.

abc: 3.557 3.557 8.589
angles: 101.95 101.95 90.00
Element x y z (fractional)
Nd1 0.325 0.325 0.650
Y1 0.673 0.673 0.347
Na1 0.002 0.002 0.003

## Properties
E above lowest polymorph, meV per atom: 17
D(E_F), states/eV per atom: 1.258
Calculated formation energy, eV/atom: 0.14



5.
MgVH2Os: relaxed, PBE-GGA.

abc: 3.397 7.306 3.397
angles: 90.00 90.00 90.00
Element x y z (fractional)
H1 0.500 0.000 0.000
H2 0.000 0.000 0.500
V1 0.000 0.500 0.000
Mg1 0.000 0.000 0.000
Os1 0.500 0.500 0.500

## Properties
E above lowest polymorph, meV per atom: 83
D(E_F), states/eV per atom: 0.824



6.
Pr2Er2Tm: relaxed, PBE-GGA.

abc: 3.581 3.580 15.087
angles: 96.75 83.19 60.00
Element x y z (fractional)
Er1 0.358 0.976 0.308
Er2 0.642 0.024 0.692
Pr1 0.225 0.442 0.108
Pr2 0.775 0.558 0.892
Tm1 0.500 0.500 0.500

## Properties
E above lowest polymorph, meV per atom: 0
D(E_F), states/eV per atom: 1.317
Calculated formation energy, eV/atom: 0.03



7.
Na3AuBr6: relaxed, PBE-GGA.

abc: 7.734 7.734 7.734
angles: 60.00 60.00 60.00
Element x y z (fractional)
Au1 0.000 0.000 0.000
Na1 0.250 0.250 0.250
Na2 0.750 0.750 0.750
Na3 0.500 0.500 0.500
Br1 0.242 0.758 0.242
Br2 0.758 0.242 0.242
Br3 0.758 0.758 0.242
Br4 0.758 0.242 0.758
Br5 0.242 0.758 0.758
Br6 0.242 0.242 0.758

## Properties
D(E_F), states/eV per atom: 0.570
Formation energy from raw total energies, kJ/mol of formula units: -729.0



8.
Ta2FeAg2Se6: relaxed, PBE-GGA.

abc: 6.228 6.228 8.057
angles: 82.75 82.75 122.57
Element x y z (fractional)
Ta1 0.371 0.629 0.500
Ta2 0.629 0.371 0.500
Se1 0.085 0.752 0.322
Se2 0.385 0.385 0.273
Se3 0.615 0.615 0.727
Se4 0.752 0.085 0.322
Se5 0.248 0.915 0.678
Se6 0.915 0.248 0.678
Ag1 0.139 0.861 0.000
Ag2 0.861 0.139 0.000
Fe1 0.000 0.000 0.500

## Properties
Formation energy from raw total energies, kJ/mol of formula units: -435.5



9.
Pu8ZnGe2: relaxed, PBE-GGA.

abc: 5.090 6.335 8.877
angles: 110.92 106.66 90.00
Last column: magnetic moment on the atom in μB.
Element x y z (fractional)
Pu1 0.204 0.204 0.408  -4.58
Pu2 0.349 0.592 0.698  4.97
Pu3 0.349 0.106 0.698  4.97
Pu4 0.651 0.408 0.302  4.97
Pu5 0.651 0.894 0.302  4.97
Pu6 0.000 0.737 0.000  5.57
Pu7 0.000 0.263 0.000  5.57
Pu8 0.796 0.796 0.592  -4.58
Ge1 0.815 0.315 0.630  -0.03
Ge2 0.185 0.685 0.370  -0.03
Zn1 0.500 0.000 0.000  0.04

## Properties
D(E_F), states/eV per atom: 4.333
Calculated formation energy, eV/atom: -0.04



10.
CuHgSe2: relaxed, PBE-GGA.

abc: 4.132 5.911 7.223
angles: 145.06 90.02 89.98
Element x y z (fractional)
Se1 0.056 0.279 0.059
Se2 0.558 0.360 0.559
Cu1 0.058 0.569 0.559
Hg1 0.556 0.568 0.058

## Properties
D(E_F), states/eV per atom: 0.926
Formation energy from raw total energies, kJ/mol of formula units: -53.6



11.
Sr2BeOs: relaxed, PBE-GGA.

abc: 5.278 5.278 5.278
angles: 127.61 127.61 77.25
Element x y z (fractional)
Be1 0.500 0.500 0.000
Sr1 0.250 0.750 0.500
Sr2 0.000 0.000 0.000
Os1 0.750 0.250 0.500

## Properties
D(E_F), states/eV per atom: 0.366
Calculated formation energy, eV/atom: 0.88



12.
MgCd2Ag: relaxed, PBE-GGA.

abc: 5.189 5.189 5.194
angles: 79.58 79.58 36.65
Element x y z (fractional)
Ag1 0.246 0.246 0.260
Mg1 0.506 0.506 0.487
Cd1 0.752 0.752 0.750
Cd2 0.996 0.996 0.003

## Properties
E above lowest polymorph, meV per atom: 22
D(E_F), states/eV per atom: 0.175
Calculated formation energy, eV/atom: -0.08



13.
TbNd3Rh3: relaxed, PBE-GGA.

abc: 7.032 7.032 7.144
angles: 90.40 90.40 96.42
Element x y z (fractional)
Rh1 0.500 0.992 0.728
Rh2 0.062 0.062 0.804
Rh3 0.500 0.008 0.272
Rh4 0.938 0.938 0.196
Rh5 0.008 0.500 0.272
Rh6 0.992 0.500 0.728
Nd1 0.330 0.330 0.622
Nd2 0.748 0.252 0.000
Nd3 0.819 0.181 0.500
Nd4 0.252 0.748 0.000
Nd5 0.181 0.819 0.500
Nd6 0.670 0.670 0.378
Tb1 0.241 0.241 0.124
Tb2 0.759 0.759 0.876

## Properties
D(E_F), states/eV per atom: 0.673
Calculated formation energy, eV/atom: -0.58